No. 1
## Fe2AgPb (PBE)

Data for a relaxed Fe2AgPb crystal.

Geometry as extended XYZ:
```
4
Lattice="-7.658 -0.298 -4.872 -5.621 -0.859 -7.081 -6.646 -3.145 -5.331" Properties=species:S:1:pos:R:3 pbc="T T T"
Fe -9.888 -2.135 -8.577
Ag -14.944 -3.227 -12.963
Pb -4.981 -1.076 -4.321
Fe -0.075 -0.016 -0.065
```

Properties
- Energy of formation: 707 meV/atom
- Total magnetic moment: 5.8 μB/cell
- Total energy: -5.16 eV per atom


No. 2
## Nd2Dy3Y (PBE)

Data for a relaxed Nd2Dy3Y crystal.

Geometry as extended XYZ:
```
12
Lattice="-1.929 -5.153 1.148 1.367 0.564 -8.930 7.430 -1.309 6.608" Properties=species:S:1:pos:R:3 pbc="T T T"
Nd 6.675 -2.072 1.915
Dy 3.920 -5.195 -2.974
Dy 2.377 -3.979 -0.107
Nd 0.192 -3.826 -3.089
Nd 1.458 -2.170 -7.290
Dy 4.490 -1.918 -1.067
Dy 2.948 -0.702 1.799
Y 1.103 -0.709 -1.330
Y 5.765 -5.188 0.155
Dy 2.860 -2.006 -4.200
Dy 4.008 -3.891 3.025
Nd 5.410 -3.728 6.115
```

Properties
- Energy of formation: 92 meV/atom
- Total magnetic moment: 0.0 μB/cell
- Total energy: -4.88 eV per atom